An optimized crystal structure of AsPIN2. Source: the Alexandria database, functional PBEsol.

M_tot (μB per formula unit): 0.30
Energy relative to the elements, uncorrected (eV per atom): 1.261
Calculated volume (Å³/f.u.): 86.2

Cell lengths 3.630, 3.630, 6.537 Å; angles 90.00, 90.00, 90.00 degrees
Each line ends with the local moment (μB).
Positions (direct):
P (0.000, 0.000, 0.000)  -0.01
I (0.000, 0.000, 0.500)  0.00
N (0.000, 0.500, 0.000)  0.11
N (0.500, 0.000, 0.000)  0.11
As (0.500, 0.500, 0.500)  0.01

---

An optimized crystal structure of AsPI2N. Source: the Alexandria database, functional PBEsol.

M_tot (μB per formula unit): 0.00
Energy relative to the elements, uncorrected (eV per atom): 1.060
Calculated volume (Å³/f.u.): 116.6

Cell lengths 3.606, 5.686, 5.686 Å; angles 90.00, 90.00, 90.00 degrees
Positions (direct):
N (0.500, 0.000, 0.000)
I (0.000, 0.000, 0.500)
I (0.000, 0.500, 0.000)
As (0.000, 0.000, 0.000)
P (0.500, 0.500, 0.500)

---

An optimized crystal structure of ScAsIN2. Source: the Alexandria database, functional PBEsol.

M_tot (μB per formula unit): 0.00
Energy relative to the elements, uncorrected (eV per atom): 0.909
Calculated volume (Å³/f.u.): 85.1

Cell lengths 3.933, 3.933, 5.499 Å; angles 90.00, 90.00, 90.00 degrees
Positions (direct):
Sc (0.500, 0.500, 0.500)
N (0.500, 0.000, 0.000)
N (0.000, 0.500, 0.000)
As (0.000, 0.000, 0.000)
I (0.000, 0.000, 0.500)

---

An optimized crystal structure of SiAsI2N. Source: the Alexandria database, functional PBEsol.

M_tot (μB per formula unit): 0.00
Energy relative to the elements, uncorrected (eV per atom): 0.877
Calculated volume (Å³/f.u.): 121.5

Cell lengths 3.639, 5.779, 5.779 Å; angles 90.00, 90.00, 90.00 degrees
Positions (direct):
As (0.000, 0.000, 0.000)
I (0.000, 0.500, 0.000)
I (0.000, 0.000, 0.500)
N (0.500, 0.000, 0.000)
Si (0.500, 0.500, 0.500)

---

An optimized crystal structure of TaAsI2N. Source: the Alexandria database, functional PBEsol.

M_tot (μB per formula unit): 2.26
Energy relative to the elements, uncorrected (eV per atom): 1.278
Calculated volume (Å³/f.u.): 114.2

Cell lengths 3.557, 5.667, 5.667 Å; angles 90.00, 90.00, 90.00 degrees
Each line ends with the local moment (μB).
Positions (direct):
I (0.000, 0.000, 0.500)  -0.04
I (0.000, 0.500, 0.000)  -0.04
As (0.000, 0.000, 0.000)  0.00
Ta (0.500, 0.500, 0.500)  1.52
N (0.500, 0.000, 0.000)  0.00

---

An optimized crystal structure of Te2AsIN. Source: the Alexandria database, functional PBEsol.

M_tot (μB per formula unit): 0.01
Energy relative to the elements, uncorrected (eV per atom): 0.777
Calculated volume (Å³/f.u.): 122.4

Cell lengths 3.598, 5.834, 5.834 Å; angles 90.00, 90.00, 90.00 degrees
Positions (direct):
As (0.000, 0.000, 0.000)
I (0.500, 0.500, 0.500)
N (0.500, 0.000, 0.000)
Te (0.000, 0.000, 0.500)
Te (0.000, 0.500, 0.000)

---

An optimized crystal structure of NaAsI3. Source: the Alexandria database, functional PBEsol.

M_tot (μB per formula unit): 1.10
Energy relative to the elements, uncorrected (eV per atom): 0.369
Calculated volume (Å³/f.u.): 180.4

Cell lengths 5.651, 5.651, 5.651 Å; angles 90.00, 90.00, 90.00 degrees
Each line ends with the local moment (μB).
Positions (direct):
I (0.000, 0.500, 0.000)  -0.13
I (0.500, 0.000, 0.000)  -0.13
I (0.000, 0.000, 0.500)  -0.13
As (0.500, 0.500, 0.500)  0.78
Na (0.000, 0.000, 0.000)  0.00

---

An optimized crystal structure of Na2As2I. Source: the Alexandria database, functional PBEsol.

M_tot (μB per formula unit): 0.00
Energy relative to the elements, uncorrected (eV per atom): -0.344
Calculated volume (Å³/f.u.): 142.6

Cell lengths 4.074, 8.366, 8.366 Å; angles 90.00, 90.00, 90.00 degrees
Positions (direct):
Na (0.000, 0.811, 0.689)
Na (0.000, 0.189, 0.311)
Na (0.000, 0.689, 0.189)
Na (0.000, 0.311, 0.811)
As (0.500, 0.406, 0.094)
As (0.500, 0.906, 0.406)
As (0.500, 0.094, 0.594)
As (0.500, 0.594, 0.906)
I (0.000, 0.000, 0.000)
I (0.000, 0.500, 0.500)

---

What is the formula in the sixth record? Te2AsIN